1.
A plane-wave DFT calculation with PBE was carried out for a geometry-optimized Ce3HgSb structure.

Output
**Volume**: 194.2 Å³ per cell
**E_tot**: -4.451 eV/atom
**Energy relative to the elements, uncorrected**: -6 meV per atom

abc: 5.922 6.037 6.037
angles: 64.11 90.00 90.00
Element x y z (fractional)
1 Ce 0.000 0.000 0.000
2 Ce 0.500 0.507 0.923
3 Ce 0.500 0.923 0.507
4 Hg 0.500 0.982 0.982
5 Sb 0.000 0.656 0.656

2.
A plane-wave DFT calculation with PBE was carried out for a geometry-optimized CeHgSb structure.

Output
**Volume**: 171.8 Å³ per cell
**E_tot**: -4.114 eV/atom
**Energy above the most stable polymorph in this dataset**: 0.0 meV/atom
**Energy relative to the elements, uncorrected**: -661 meV per atom

abc: 9.048 9.048 9.048
angles: 151.18 151.18 41.22
Element x y z (fractional)
1 Ce 0.152 0.152 0.000
2 Ce 0.848 0.848 0.000
3 Hg 0.000 0.500 0.500
4 Hg 0.500 0.000 0.500
5 Sb 0.339 0.339 0.000
6 Sb 0.661 0.661 0.000

3.
A plane-wave DFT calculation with PBE was carried out for a geometry-optimized Ce2HgSb4 structure.

Output
**Volume**: 202.0 Å³ per cell
**E_tot**: -4.755 eV/atom
**Energy relative to the elements, uncorrected**: -661 meV per atom

abc: 4.411 4.411 10.380
angles: 90.00 90.00 90.00
Element x y z (fractional)
1 Ce 0.000 0.500 0.239
2 Ce 0.500 0.000 0.761
3 Hg 0.000 0.000 0.500
4 Sb 0.000 0.000 0.000
5 Sb 0.000 0.500 0.684
6 Sb 0.500 0.000 0.316
7 Sb 0.500 0.500 0.000

4.
A plane-wave DFT calculation with PBE was carried out for a geometry-optimized Ce2HgSb structure.

Output
**Volume**: 112.8 Å³ per cell
**E_tot**: -4.631 eV/atom
**Energy above the most stable polymorph in this dataset**: 45.0 meV/atom
**Energy relative to the elements, uncorrected**: -558 meV per atom

abc: 5.423 5.423 5.423
angles: 60.00 60.00 60.00
Element x y z (fractional)
1 Ce 0.250 0.250 0.250
2 Ce 0.750 0.750 0.750
3 Hg 0.000 0.000 0.000
4 Sb 0.500 0.500 0.500

5.
A plane-wave DFT calculation with PBE was carried out for a geometry-optimized Ce5HgSb structure.

Output
**Volume**: 394.5 Å³ per cell
**E_tot**: -5.124 eV/atom
**Energy relative to the elements, uncorrected**: -253 meV per atom

abc: 6.582 6.582 10.444
angles: 95.47 95.47 117.50
Element x y z (fractional)
1 Ce 0.027 0.415 0.700
2 Ce 0.133 0.867 0.750
3 Ce 0.195 0.506 0.961
4 Ce 0.415 0.027 0.200
5 Ce 0.494 0.805 0.539
6 Ce 0.506 0.195 0.461
7 Ce 0.585 0.973 0.800
8 Ce 0.805 0.494 0.039
9 Ce 0.867 0.133 0.250
10 Ce 0.973 0.585 0.300
11 Hg 0.000 0.000 0.000
12 Hg 0.000 0.000 0.500
13 Sb 0.454 0.546 0.250
14 Sb 0.546 0.454 0.750

6.
A plane-wave DFT calculation with PBE was carried out for a geometry-optimized Ce2HgSb3 structure.

Output
**Volume**: 168.6 Å³ per cell
**E_tot**: -4.772 eV/atom
**Energy relative to the elements, uncorrected**: -683 meV per atom

abc: 4.420 4.420 8.631
angles: 90.00 90.00 90.00
Element x y z (fractional)
1 Ce 0.000 0.500 0.206
2 Ce 0.500 0.000 0.794
3 Hg 0.000 0.000 0.500
4 Sb 0.000 0.500 0.840
5 Sb 0.500 0.000 0.160
6 Sb 0.500 0.500 0.500

| no. | total magnetic moment (Bohr magnetons per cell) |
| --- | --- |
| 1 | 3.53 |
| 2 | 1.47 |
| 3 | 1.34 |
| 4 | 3.00 |
| 5 | 2.94 |
| 6 | 0.26 |